Entry one
The following is a DFT calculation (GGA-PBE) of an optimized crystal structure of P2C.

Structure (POSCAR):
```
P2C
1.0
12.167 1.719 3.090
10.423 3.892 6.063
-11.359 -4.467 -3.399
C P
2 4
Direct
0.000 0.000 0.000
0.750 0.250 0.500
0.208 0.708 0.500
0.458 0.458 0.000
0.542 0.542 0.000
0.292 0.792 0.500
```

Results
**Crystal system**: tetragonal
**Symmetry**: I4_1/amd, No. 141
**Spin magnetization**: 0.00 μB/f.u.

---

Entry two
The following is a DFT calculation (GGA-PBE) of an optimized crystal structure of P2C.

Structure (POSCAR):
```
P2C
1.0
-6.380 6.426 -1.543
4.063 -7.745 2.805
0.737 1.412 2.830
P C
4 2
Direct
0.046 0.954 0.750
0.223 0.777 0.750
0.954 0.046 0.250
0.777 0.223 0.250
0.593 0.407 0.750
0.407 0.593 0.250
```

Results
**Crystal system**: orthorhombic
**Symmetry**: Cmcm, No. 63
**Spin magnetization**: 0.00 μB/f.u.

---

Each structure's energy above the most stable one, in eV/atom: entry one 0.566; entry two 0.000.

---

Entry one
The following is a DFT calculation (GGA-PBE) of an optimized crystal structure of SrMg14Ni.

Structure (POSCAR):
```
SrMg14Ni
1.0
3.222 -5.581 0.000
3.222 5.581 0.000
0.000 0.000 10.396
Mg Ni Sr
14 1 1
Direct
0.667 0.333 0.738
0.014 0.507 0.500
0.493 0.986 0.500
0.676 0.838 0.777
0.676 0.838 0.223
0.162 0.838 0.777
0.162 0.324 0.777
0.506 0.013 0.000
0.162 0.324 0.223
0.162 0.838 0.223
0.506 0.494 0.000
0.493 0.507 0.500
0.667 0.333 0.262
0.987 0.494 0.000
0.000 0.000 0.000
0.000 0.000 0.500
```

Results
**Crystal system**: hexagonal
**Symmetry**: P-6m2, No. 187
**Spin magnetization**: 0.00 μB/f.u.

---

Entry two
The following is a DFT calculation (GGA-PBE) of an optimized crystal structure of SrMg14Ni.

Structure (POSCAR):
```
SrMg14Ni
1.0
-4.796 4.071 -1.854
1.733 -5.302 -3.449
-6.901 -5.711 5.312
Mg Ni Sr
14 1 1
Direct
0.164 0.836 0.232
0.167 0.322 0.752
0.678 0.833 0.752
0.690 0.310 0.297
0.817 0.710 0.500
0.290 0.183 0.500
0.167 0.322 0.248
0.164 0.836 0.768
0.825 0.662 0.000
0.830 0.170 0.000
0.338 0.175 0.000
0.690 0.310 0.703
0.336 0.664 0.000
0.678 0.833 0.248
0.859 0.141 0.500
0.308 0.692 0.500
```

Results
**Crystal system**: orthorhombic
**Symmetry**: Amm2, No. 38
**Spin magnetization**: 0.00 μB/f.u.

---

Each structure's energy above the most stable one, in eV/atom: entry one 0.021; entry two 0.000.

---

Entry one
The following is a DFT calculation (GGA-PBE) of an optimized crystal structure of ScReIr2.

Structure (POSCAR):
```
ScReIr2
1.0
-1.147 2.312 -2.869
0.557 -2.050 -1.874
-4.804 -3.984 -1.291
Re Ir Sc
1 2 1
Direct
0.500 0.250 0.250
0.000 0.513 0.486
0.000 0.987 0.014
0.500 0.750 0.750
```

Results
**Crystal system**: monoclinic
**Symmetry**: P2/m, No. 10
**Spin magnetization**: 0.00 μB/f.u.

---

Entry two
The following is a DFT calculation (GGA-PBE) of an optimized crystal structure of ScReIr2.

Structure (POSCAR):
```
ScReIr2
1.0
-3.746 1.423 2.580
0.912 -4.497 1.289
1.755 0.938 2.033
Ir Re Sc
2 1 1
Direct
0.500 0.500 0.000
0.000 0.000 0.000
0.500 0.000 0.500
0.000 0.500 0.500
```

Results
**Crystal system**: orthorhombic
**Symmetry**: Cmmm, No. 65
**Spin magnetization**: 0.00 μB/f.u.

---

Each structure's energy above the most stable one, in eV/atom: entry one 0.057; entry two 0.000.

---

Entry one
The following is a DFT calculation (GGA-PBE) of an optimized crystal structure of SbPdPt4.

Structure (POSCAR):
```
SbPdPt4
1.0
3.946 0.479 -2.853
-2.100 4.769 -3.570
0.170 -1.421 11.361
Pt Pd Sb
8 2 2
Direct
0.821 0.164 0.955
0.500 0.503 0.876
0.498 0.496 0.369
0.502 0.504 0.631
0.500 0.497 0.124
0.172 0.843 0.542
0.179 0.836 0.045
0.828 0.157 0.458
0.160 0.825 0.286
0.840 0.175 0.714
0.880 0.187 0.234
0.120 0.813 0.766
```

Results
**Crystal system**: triclinic
**Symmetry**: P-1, No. 2
**Spin magnetization**: 0.00 μB/f.u.

---

Entry two
The following is a DFT calculation (GGA-PBE) of an optimized crystal structure of SbPdPt4.

Structure (POSCAR):
```
SbPdPt4
1.0
-1.113 0.198 5.395
-0.376 -5.494 0.113
7.352 -0.471 1.534
Pt Sb Pd
8 2 2
Direct
0.746 0.500 0.000
0.746 0.000 0.500
0.254 0.500 0.500
0.746 0.500 0.500
0.746 0.000 0.000
0.254 0.500 0.000
0.254 0.000 0.000
0.254 0.000 0.500
0.000 0.750 0.250
0.000 0.250 0.750
0.500 0.750 0.750
0.500 0.250 0.250
```

Results
**Crystal system**: monoclinic
**Symmetry**: C2/m, No. 12
**Spin magnetization**: 0.00 μB/f.u.

---

Each structure's energy above the most stable one, in eV/atom: entry one 0.000; entry two 0.115.

---

Entry one
The following is a DFT calculation (GGA-PBE) of an optimized crystal structure of LiBS2N.

Structure (POSCAR):
```
LiBS2N
1.0
5.101 0.000 0.000
0.000 5.101 0.000
0.000 0.000 2.679
B Li S N
1 1 2 1
Direct
0.000 0.000 0.000
0.500 0.500 0.500
0.000 0.500 0.000
0.500 0.000 0.000
0.000 0.000 0.500
```

Results
**Crystal system**: tetragonal
**Symmetry**: P4/mmm, No. 123
**Spin magnetization**: 0.47 μB/f.u.

---

Entry two
The following is a DFT calculation (GGA-PBE) of an optimized crystal structure of LiBS2N.

Structure (POSCAR):
```
LiBS2N
1.0
4.384 0.000 0.000
0.000 4.384 0.000
0.000 0.000 3.429
B Li S N
1 1 2 1
Direct
0.500 0.500 0.500
0.000 0.000 0.000
0.000 0.500 0.000
0.500 0.000 0.000
0.000 0.000 0.500
```

Results
**Crystal system**: tetragonal
**Symmetry**: P4/mmm, No. 123
**Spin magnetization**: 0.00 μB/f.u.

---

Each structure's energy above the most stable one, in eV/atom: entry one 0.000; entry two 1.844.

---

Entry one
The following is a DFT calculation (GGA-PBE) of an optimized crystal structure of Na2MgIn5.

Structure (POSCAR):
```
Na2MgIn5
1.0
-5.054 -0.546 1.682
2.076 -4.720 4.706
1.003 5.094 4.667
Mg In Na
1 5 2
Direct
0.000 0.000 0.000
0.000 0.713 0.287
0.000 0.713 0.713
0.000 0.287 0.713
0.000 0.287 0.287
0.500 0.000 0.000
0.500 0.000 0.500
0.500 0.500 0.000
```

Results
**Crystal system**: tetragonal
**Symmetry**: P4/mmm, No. 123
**Spin magnetization**: 0.00 μB/f.u.

---

Entry two
The following is a DFT calculation (GGA-PBE) of an optimized crystal structure of Na2MgIn5.

Structure (POSCAR):
```
Na2MgIn5
1.0
4.504 0.000 -1.238
-0.340 4.491 -1.238
0.339 0.365 10.044
Na In Mg
2 5 1
Direct
0.752 0.752 0.503
0.248 0.248 0.497
0.619 0.119 0.237
0.119 0.619 0.237
0.500 0.500 0.000
0.381 0.881 0.763
0.881 0.381 0.763
0.000 0.000 0.000
```

Results
**Crystal system**: tetragonal
**Symmetry**: I4/mmm, No. 139
**Spin magnetization**: 0.00 μB/f.u.

---

Each structure's energy above the most stable one, in eV/atom: entry one 0.212; entry two 0.000.